Arrangement one

# YReSN2

YReSN2 after structural relaxation (GGA-PBE, Alexandria).

Computed properties:
Calculated volume in Å³ per cell: 97.2
Density of states at the Fermi level in states/eV/f.u.: 4.01
Theoretical density in g/cm3: 5.7

Cell lengths 4.221, 4.221, 5.456 Å; angles 90.00, 90.00, 90.00 degrees
Last column: magnetic moment on the atom in μB.
Positions (direct):
S 0.000 0.000 0.500  -0.06
N 0.500 0.000 0.000  -0.58
N 0.000 0.500 0.000  -0.58
Re 0.500 0.500 0.500  3.72
Y 0.000 0.000 0.000  -0.08

=====

Arrangement two

# YReSN2

YReSN2 after structural relaxation (GGA-PBE, Alexandria).

Computed properties:
Calculated volume in Å³ per cell: 75.4
Density of states at the Fermi level in states/eV/f.u.: 2.86
Theoretical density in g/cm3: 7.4

Cell lengths 3.901, 3.901, 4.958 Å; angles 90.00, 90.00, 90.00 degrees
Positions (direct):
Y 0.500 0.500 0.500
Re 0.000 0.000 0.000
S 0.000 0.000 0.500
N 0.500 0.000 0.000
N 0.000 0.500 0.000

=====

Most stable to least stable: arrangement two, arrangement one

=====

Arrangement one

# ZnReS2N

ZnReS2N after structural relaxation (GGA-PBE, Alexandria).

Computed properties:
Calculated volume in Å³ per cell: 78.3
Density of states at the Fermi level in states/eV/f.u.: 5.82
Theoretical density in g/cm3: 7.0

Cell lengths 4.727, 4.727, 3.502 Å; angles 90.00, 90.00, 90.00 degrees
Last column: magnetic moment on the atom in μB.
Positions (direct):
Re 0.500 0.500 0.500  1.79
N 0.000 0.000 0.500  0.19
S 0.500 0.000 0.000  -0.04
S 0.000 0.500 0.000  -0.04
Zn 0.000 0.000 0.000  -0.01

=====

Arrangement two

# ZnReS2N

ZnReS2N after structural relaxation (GGA-PBE, Alexandria).

Computed properties:
Calculated volume in Å³ per cell: 86.1
Density of states at the Fermi level in states/eV/f.u.: 2.47
Theoretical density in g/cm3: 6.4

Cell lengths 4.800, 4.800, 3.737 Å; angles 90.00, 90.00, 90.00 degrees
Positions (direct):
Re 0.000 0.000 0.000
Zn 0.500 0.500 0.500
S 0.500 0.000 0.000
S 0.000 0.500 0.000
N 0.000 0.000 0.500

=====

Most stable to least stable: arrangement two, arrangement one

=====

Arrangement one

# ZrReS2N

ZrReS2N after structural relaxation (GGA-PBE, Alexandria).

Computed properties:
Calculated volume in Å³ per cell: 103.3
Density of states at the Fermi level in states/eV/f.u.: 3.30
Theoretical density in g/cm3: 5.7

Cell lengths 5.063, 5.063, 4.028 Å; angles 90.00, 90.00, 90.00 degrees
Last column: magnetic moment on the atom in μB.
Positions (direct):
Zr 0.000 0.000 0.000  0.07
Re 0.500 0.500 0.500  3.85
S 0.500 0.000 0.000  -0.05
S 0.000 0.500 0.000  -0.05
N 0.000 0.000 0.500  -0.21

=====

Arrangement two

# ZrReS2N

ZrReS2N after structural relaxation (GGA-PBE, Alexandria).

Computed properties:
Calculated volume in Å³ per cell: 85.0
Density of states at the Fermi level in states/eV/f.u.: 4.39
Theoretical density in g/cm3: 6.9

Cell lengths 4.777, 4.777, 3.725 Å; angles 90.00, 90.00, 90.00 degrees
Positions (direct):
S 0.000 0.500 0.000
S 0.500 0.000 0.000
Zr 0.500 0.500 0.500
Re 0.000 0.000 0.000
N 0.000 0.000 0.500

=====

Most stable to least stable: arrangement two, arrangement one

=====

Arrangement one

# Re3SbN

Re3SbN after structural relaxation (GGA-PBE, Alexandria).

Computed properties:
Calculated volume in Å³ per cell: 113.3
Density of states at the Fermi level in states/eV/f.u.: 12.87
Theoretical density in g/cm3: 10.2

Cell lengths 4.839, 4.839, 4.839 Å; angles 90.00, 90.00, 90.00 degrees
Positions (direct):
Re 0.500 0.000 0.000
Re 0.000 0.000 0.500
Re 0.000 0.500 0.000
Sb 0.000 0.000 0.000
N 0.500 0.500 0.500

=====

Arrangement two

# Re3SbN

Re3SbN after structural relaxation (GGA-PBE, Alexandria).

Computed properties:
Calculated volume in Å³ per cell: 72.0
Density of states at the Fermi level in states/eV/f.u.: 4.76
Theoretical density in g/cm3: 16.0

Cell lengths 4.160, 4.160, 4.160 Å; angles 90.00, 90.00, 90.00 degrees
Last column: magnetic moment on the atom in μB.
Positions (direct):
Sb 0.500 0.500 0.500  0.00
N 0.000 0.000 0.000  -0.01
Re 0.000 0.500 0.000  0.21
Re 0.000 0.000 0.500  0.19
Re 0.500 0.000 0.000  0.21

=====

Most stable to least stable: arrangement two, arrangement one